Record 1
VASP calculation (GGA-PBE) on a geometry-optimized Pm7Nd2Sm3 structure.

DOS at the Fermi energy = 18.5 states/eV per cell
E above lowest polymorph = 0.000 eV/atom
Energy = -4.676 eV per atom
Calculated density = 7.02 Mg/m³
M_tot = 0.000 μB per cell

Structure (extended XYZ):
```
12
Lattice="6.495 0.000 0.000 0.000 3.594 0.000 -1.914 0.000 17.783" Properties=species:S:1:pos:R:3 pbc="T T T"
Pm 0.000 0.000 0.000
Pm 1.147 1.797 2.980
Pm 0.715 1.797 8.859
Pm 0.185 0.000 14.842
Pm 4.396 0.000 2.941
Pm 3.866 1.797 8.924
Pm 3.433 1.797 14.803
Nd -0.912 1.797 11.926
Nd 5.493 1.797 5.857
Sm 2.289 0.000 6.041
Sm 3.247 1.797 0.000
Sm 2.292 0.000 11.743
```



Record 2
VASP calculation (GGA-PBE) on a geometry-optimized YMn2P structure.

DOS at the Fermi energy = 3.4 states/eV per cell
Energy = -7.621 eV per atom
Calculated density = 5.38 Mg/m³
M_tot = 6.941 μB per cell

Structure (extended XYZ):
```
4
Lattice="-1.966 1.966 4.587 1.966 -1.966 4.587 1.966 1.966 -4.587" Properties=species:S:1:pos:R:3 pbc="T T T"
Y 0.000 0.000 0.000
Mn 1.966 0.000 2.293
Mn 0.000 1.966 2.293
P 0.000 0.000 4.587
```



Record 3
VASP calculation (GGA-PBE) on a geometry-optimized CaAu structure.

DOS at the Fermi energy = 2.6 states/eV per cell
Energy = -3.268 eV per atom
Calculated density = 8.26 Mg/m³
M_tot = 0.000 μB per cell

Structure (extended XYZ):
```
4
Lattice="-2.182 2.182 5.001 2.182 -2.182 5.001 2.182 2.182 -5.001" Properties=species:S:1:pos:R:3 pbc="T T T"
Ca 2.182 1.091 1.250
Ca 0.000 1.091 3.751
Au 2.182 -1.091 3.751
Au 0.000 3.273 1.250
```



- The lowest energy belongs to which entry?
  YMn2P



- What is the energy in the third record?
  -3.268 eV per atom



- Which value of energy does entry 2 give?
  -7.621 eV per atom